No. 1
DFT (PBE) results for Gd2ScBe after structural relaxation.

Cell: 3.3342 3.3342 11.3471 Å, 81.55 81.55 60.00°
Closest atoms and distances in Å follow each position.
Element x y z (fractional)
Be 0.0000 0.0000 0.0000  2 Gd 2.88
Sc 0.5000 0.5000 0.5000  6 Gd 3.32, 6 Sc 3.33
Gd 0.0859 0.0859 0.7422  1 Be 2.88
Gd 0.9141 0.9141 0.2578  1 Be 2.88

Calculated values
total magnetization: 14.631 μB/f.u.
ΔE_f: 0.68 eV/atom
energy: -8.879 eV per atom
energy above the lowest structure with this stoichiometry: 0.574 eV/atom

=====

No. 2
DFT (PBE) results for GdScBe after structural relaxation.

Cell: 3.3444 3.3444 6.2824 Å, 105.44 105.44 90.00°
Closest atoms and distances in Å follow each position.
Element x y z (fractional)
Be 0.6808 0.6808 0.3616  4 Sc 2.72, 4 Gd 2.99
Sc 0.2957 0.2957 0.5915  4 Be 2.72
Gd 0.0235 0.0235 0.0470  4 Be 2.99, 1 Sc 3.17, 4 Gd 3.34

Calculated values
total magnetization: 7.102 μB/f.u.
ΔE_f: 0.07 eV/atom
energy: -7.977 eV per atom

=====

No. 3
DFT (PBE) results for GdBeSi after structural relaxation.

Cell: 4.0933 3.8976 3.8976 Å, 120.00 90.00 90.00°
Closest atoms and distances in Å follow each position.
Element x y z (fractional)
Be 0.1664 0.3333 0.6667  3 Si 2.25
Gd 0.6668 0.6667 0.3333  6 Be 3.04, 6 Si 3.04
Si 0.1668 0.0000 0.0000  3 Be 2.25

Calculated values
total magnetization: 7.271 μB/f.u.
energy: -8.375 eV per atom
formation energy without anion corrections: -0.632 eV per atom

=====

No. 4
DFT (PBE) results for TbGdBe after structural relaxation.

Cell: 3.4872 3.4872 6.5070 Å, 105.54 105.54 90.00°
Closest atoms and distances in Å follow each position.
Element x y z (fractional)
Gd 0.0304 0.0304 0.0609  4 Be 2.97, 1 Tb 3.27
Tb 0.3017 0.3017 0.6033  4 Be 2.95, 1 Gd 3.27
Be 0.6679 0.6679 0.3358  4 Tb 2.95, 4 Gd 2.97

Calculated values
total magnetization: 7.409 μB/f.u.
ΔE_f: 0.10 eV/atom
energy: -7.384 eV per atom

=====

No. 5
DFT (PBE) results for Tb2GdBe after structural relaxation.

Cell: 3.4376 3.4376 11.6123 Å, 81.49 81.49 60.00°
Closest atoms and distances in Å follow each position.
Element x y z (fractional)
Tb 0.0840 0.0840 0.7480  1 Be 2.88
Gd 0.5000 0.5000 0.5000  6 Gd 3.44, 6 Tb 3.46
Be 0.0000 0.0000 0.0000  2 Tb 2.88
Tb 0.9160 0.9160 0.2520  1 Be 2.88

Calculated values
total magnetization: 7.063 μB/f.u.
ΔE_f: 0.69 eV/atom
energy: -6.073 eV per atom
energy above the lowest structure with this stoichiometry: 0.615 eV/atom

=====

No. 6
DFT (PBE) results for Tb2GdBe after structural relaxation.

Cell: 3.4818 3.4818 8.6237 Å, 90.00 90.00 90.00°
Closest atoms and distances in Å follow each position.
Element x y z (fractional)
Be 0.5000 0.5000 0.0000  8 Tb 2.96
Tb 0.0000 0.0000 0.8085  4 Be 2.96, 1 Tb 3.30
Gd 0.5000 0.5000 0.5000  4 Gd 3.48, 8 Tb 3.62
Tb 0.0000 0.0000 0.1915  4 Be 2.96, 1 Tb 3.30

Calculated values
total magnetization: 7.602 μB/f.u.
ΔE_f: 0.08 eV/atom
energy: -6.688 eV per atom
energy above the lowest structure with this stoichiometry: 0.000 eV/atom

=====

No. 7
DFT (PBE) results for TbGdBeZn after structural relaxation.

Cell: 4.9776 4.9776 4.9776 Å, 60.00 60.00 60.00°
Closest atoms and distances in Å follow each position.
Element x y z (fractional)
Be 0.5000 0.5000 0.5000  4 Gd 3.05, 4 Tb 3.05
Zn 0.0000 0.0000 0.0000  4 Gd 3.05, 4 Tb 3.05
Gd 0.2500 0.2500 0.2500  4 Be 3.05, 4 Zn 3.05
Tb 0.7500 0.7500 0.7500  4 Zn 3.05, 4 Be 3.05

Calculated values
total magnetization: 7.817 μB/f.u.
ΔE_f: -0.10 eV/atom
energy: -6.026 eV per atom

=====

No. 8
DFT (PBE) results for Gd2ThBe after structural relaxation.

Cell: 3.4851 3.4851 8.5724 Å, 90.00 90.00 90.00°
Closest atoms and distances in Å follow each position.
Element x y z (fractional)
Gd 0.0000 0.0000 0.8034  4 Be 2.99
Be 0.5000 0.5000 0.0000  8 Gd 2.99
Th 0.5000 0.5000 0.5000  4 Th 3.49, 8 Gd 3.58
Gd 0.0000 0.0000 0.1966  4 Be 2.99

Calculated values
total magnetization: 14.631 μB/f.u.
ΔE_f: 0.09 eV/atom
energy: -9.737 eV per atom
energy above the lowest structure with this stoichiometry: 0.000 eV/atom

=====

No. 9
DFT (PBE) results for GdThBe after structural relaxation.

Cell: 3.5099 3.5099 6.5265 Å, 105.60 105.60 90.00°
Closest atoms and distances in Å follow each position.
Element x y z (fractional)
Gd 0.0272 0.0272 0.0545  4 Be 2.99
Be 0.6655 0.6655 0.3310  4 Gd 2.99, 4 Th 3.01
Th 0.3072 0.3072 0.6145  4 Be 3.01

Calculated values
total magnetization: 7.409 μB/f.u.
ΔE_f: 0.16 eV/atom
energy: -8.249 eV per atom

=====

No. 10
DFT (PBE) results for Gd2ThBe after structural relaxation.

Cell: 3.4926 3.4926 11.5144 Å, 81.28 81.28 60.00°
Closest atoms and distances in Å follow each position.
Element x y z (fractional)
Gd 0.9154 0.9154 0.2537  1 Be 2.88
Th 0.5000 0.5000 0.5000  6 Gd 3.44, 6 Th 3.49
Gd 0.0846 0.0846 0.7463  1 Be 2.88
Be 0.0000 0.0000 0.0000  2 Gd 2.88

Calculated values
total magnetization: 14.678 μB/f.u.
ΔE_f: 0.68 eV/atom
energy: -9.148 eV per atom
energy above the lowest structure with this stoichiometry: 0.589 eV/atom

=====

No. 11
DFT (PBE) results for GdThBeZn after structural relaxation.

Cell: 5.0412 5.0412 5.0412 Å, 60.00 60.00 60.00°
Closest atoms and distances in Å follow each position.
Element x y z (fractional)
Zn 0.5000 0.5000 0.5000  4 Gd 3.09, 4 Th 3.09
Gd 0.2500 0.2500 0.2500  4 Be 3.09, 4 Zn 3.09
Th 0.7500 0.7500 0.7500  4 Zn 3.09, 4 Be 3.09
Be 0.0000 0.0000 0.0000  4 Th 3.09, 4 Gd 3.09

Calculated values
total magnetization: 7.557 μB/f.u.
ΔE_f: -0.01 eV/atom
energy: -6.634 eV per atom

=====

No. 12
DFT (PBE) results for GdTmBe4 after structural relaxation.

Cell: 5.0097 5.0097 5.0097 Å, 60.00 60.00 60.00°
Closest atoms and distances in Å follow each position.
Element x y z (fractional)
Gd 0.0000 0.0000 0.0000  12 Be 2.94, 4 Tm 3.07
Be 0.6245 0.6245 0.6245  6 Be 2.50-2.51
Tm 0.2500 0.2500 0.2500  12 Be 2.94, 4 Gd 3.07
Be 0.6245 0.1264 0.6245  6 Be 2.50-2.51
Be 0.6245 0.6245 0.1264  6 Be 2.50-2.51
Be 0.1264 0.6245 0.6245  6 Be 2.50-2.51

Calculated values
total magnetization: 7.003 μB/f.u.
ΔE_f: 0.08 eV/atom
energy: -5.497 eV per atom